Below is crystalline NaPmNiSn at its relaxed geometry, with properties calculated at the GGA-PBE level.

The space group is F-43m (No. 216) and the conventional cell measures 6.883, 6.883 and 6.883 Å, with angles of 90.00, 90.00 and 90.00 degrees. The inequivalent atoms are Na at (0.000, 0.000, 0.000), Pm at (0.250, 0.250, 0.750), Ni at (0.000, 0.000, 0.500) and Sn at (0.250, 0.250, 0.250).

The value obtained for the calculated density is 7.04 g cm⁻³. For the energy relative to the elements, the calculation gives -1.173 eV/f.u.



Below is crystalline NaPr2Ni at its relaxed geometry, with properties calculated at the GGA-PBE level.

The space group is R3m (No. 160, hexagonal axes) and the conventional cell measures 4.1082, 4.1082 and 27.7538 Å, with angles of 90.00, 90.00 and 120.00 degrees. The inequivalent atoms are Na at (0.0000, 0.0000, 0.0000), Pr at (0.0000, 0.0000, 0.2207), Pr at (0.0000, 0.0000, 0.4471) and Ni at (0.0000, 0.0000, 0.8341).

The value obtained for the calculated density is 4.46 g cm⁻³. The value obtained for the distance to the lowest polymorph of the same formula is 3 meV/atom. For the energy relative to the elements, the calculation gives -0.137 eV/f.u.